Ca2Ga2Sn: optimized geometry, PBE-GGA.

Cell lengths 6.073, 6.073, 10.996 Å; angles 114.34, 114.34, 45.05 degrees
Positions (direct):
Ca (0.003, 0.003, 0.181)
Ca (0.183, 0.183, 0.600)
Ca (0.817, 0.817, 0.400)
Ca (0.997, 0.997, 0.819)
Ga (0.367, 0.367, 0.952)
Ga (0.468, 0.468, 0.601)
Ga (0.532, 0.532, 0.399)
Ga (0.633, 0.633, 0.048)
Sn (0.286, 0.286, 0.166)
Sn (0.714, 0.714, 0.834)

Magnetization: 0.00 μB per cell
SG: No. 12
DFT total energy: -3.288 eV per atom
Volume: 25.68 A^3/atom

=====

Ca3GaSn: optimized geometry, PBE-GGA.

Cell lengths 5.628, 5.628, 5.628 Å; angles 90.00, 90.00, 90.00 degrees
Positions (direct):
Ca (0.000, 0.000, 0.500)
Ca (0.000, 0.500, 0.000)
Ca (0.500, 0.000, 0.000)
Ga (0.000, 0.000, 0.000)
Sn (0.500, 0.500, 0.500)

Magnetization: 0.51 μB per cell
SG: No. 221
DFT total energy: -2.719 eV per atom
Volume: 35.65 A^3/atom

=====

Look up the volume of the first one.
25.68 A^3/atom

=====

The highest magnetization belongs to which entry?
Ca3GaSn

=====

The lowest volume belongs to which entry?
Ca2Ga2Sn

=====

What is the magnetization in the second record?
0.51 μB per cell